# Rb2Sm2PdO6, optimized geometry, DFT PBE
# - Magnetic moment: 0.00 μB/atom
# - Density: 5.49 g/cm3
# - Energy relative to the elements, uncorrected: -1986 meV per atom
data_Rb2Sm2PdO6
_chemical_formula_sum 'Rb4 Sm4 Pd2 O12'
_cell_length_a 5.967
_cell_length_b 10.235
_cell_length_c 6.907
_cell_angle_alpha 90.00
_cell_angle_beta 104.74
_cell_angle_gamma 90.00
_symmetry_space_group_name_H-M 'C 1 2/m 1'
_symmetry_Int_Tables_number 12
loop_
_symmetry_equiv_pos_as_xyz
'x,y,z'
'-x,-y,-z'
'-x,y,-z'
'x,-y,z'
'x+1/2,y+1/2,z'
'-x+1/2,-y+1/2,-z'
'-x+1/2,y+1/2,-z'
'x+1/2,-y+1/2,z'
loop_
_atom_site_label
_atom_site_fract_x
_atom_site_fract_y
_atom_site_fract_z
Rb1 0.000 0.161 0.000
Sm1 0.000 0.335 0.500
Pd1 0.000 0.000 0.500
O1 0.200 0.153 0.666
O2 0.247 0.000 0.331